Li2AlHPt | PBE | optimized geometry

a b c (Å): 3.683 3.683 4.262
angles (deg): 90.00 90.00 90.00
Fractional coordinates of all 5 atoms:
Li (0.000, 0.500, 0.000)
Li (0.500, 0.000, 0.000)
Al (0.000, 0.000, 0.500)
Pt (0.500, 0.500, 0.500)
H (0.000, 0.000, 0.000)

Calculated values
* crystal system: tetragonal
* total DFT energy (no corrections): -0.1432 hartree per atom

=====

Li2AlHPt | PBE | optimized geometry

a b c (Å): 3.840 3.840 3.910
angles (deg): 90.00 90.00 90.00
Fractional coordinates of all 5 atoms:
H (0.000, 0.000, 0.000)
Li (0.000, 0.500, 0.000)
Li (0.500, 0.000, 0.000)
Pt (0.000, 0.000, 0.500)
Al (0.500, 0.500, 0.500)

Calculated values
* crystal system: tetragonal
* total DFT energy (no corrections): -0.1422 hartree per atom

=====

LiAlHPt2 | PBE | optimized geometry

a b c (Å): 3.981 3.981 3.690
angles (deg): 90.00 90.00 90.00
Fractional coordinates of all 5 atoms:
Pt (0.000, 0.500, 0.000)
Pt (0.500, 0.000, 0.000)
Al (0.500, 0.500, 0.500)
Li (0.000, 0.000, 0.500)
H (0.000, 0.000, 0.000)

Calculated values
* crystal system: tetragonal
* total DFT energy (no corrections): -0.1793 hartree per atom

=====

Li2PuAlH8 | PBE | optimized geometry

a b c (Å): 3.505 5.347 5.863
angles (deg): 80.87 74.10 83.80
Fractional coordinates of all 12 atoms:
H (0.833, 0.244, 0.798)
H (0.609, 0.997, 0.251)
H (0.125, 0.248, 0.129)
H (0.391, 0.003, 0.749)
H (0.527, 0.719, 0.536)
H (0.167, 0.756, 0.202)
H (0.875, 0.752, 0.871)
H (0.473, 0.281, 0.464)
Al (0.000, 0.000, 0.000)
Li (0.336, 0.441, 0.751)
Li (0.664, 0.559, 0.249)
Pu (0.000, 0.000, 0.500)

Calculated values
* crystal system: triclinic
* total DFT energy (no corrections): -0.1584 hartree per atom